# Al2CdIn2 GGA-PBE relaxed
data_Al2CdIn2
_chemical_formula_sum 'Al4 Cd2 In4'
_symmetry_space_group_name_H-M 'P 4/m b m'
_symmetry_Int_Tables_number 127
_symmetry_space_group_name_Hall '-P 4 2ab'
_cell_length_a 8.4248
_cell_length_b 8.4248
_cell_length_c 3.2957
_cell_angle_alpha 90.00
_cell_angle_beta 90.00
_cell_angle_gamma 90.00
loop_
_atom_site_label
_atom_site_type_symbol
_atom_site_fract_x
_atom_site_fract_y
_atom_site_fract_z
Al1 Al 0.1185 0.3815 0.0000
Cd1 Cd 0.0000 0.0000 0.5000
In1 In 0.1765 0.6765 0.5000
# - ΔE to the lowest computed polymorph (meV/atom) = 48
# - VASP energy (eV/atom) = -2.58
# - mass density (g/cm3) = 5.62
# - formation enthalpy at 0 K (eV per atom) = 0.198



# CaIn3Sn2 GGA-PBE relaxed
data_CaIn3Sn2
_chemical_formula_sum 'Ca2 In6 Sn4'
_symmetry_space_group_name_H-M 'C m m m'
_symmetry_Int_Tables_number 65
_symmetry_space_group_name_Hall '-C 2 2'
_cell_length_a 4.9891
_cell_length_b 14.3836
_cell_length_c 4.5571
_cell_angle_alpha 90.00
_cell_angle_beta 90.00
_cell_angle_gamma 90.00
loop_
_atom_site_label
_atom_site_type_symbol
_atom_site_fract_x
_atom_site_fract_y
_atom_site_fract_z
Ca1 Ca 0.0000 0.0000 0.0000
In1 In 0.0000 0.1715 0.5000
In2 In 0.0000 0.5000 0.5000
Sn1 Sn 0.0000 0.3344 0.0000
# - VASP energy (eV/atom) = -3.21
# - mass density (g/cm3) = 6.32
# - formation enthalpy at 0 K (eV per atom) = -0.172



# Na2ZnSiAu6 GGA-PBE relaxed
data_Na2ZnSiAu6
_chemical_formula_sum 'Na8 Zn4 Si4 Au24'
_symmetry_space_group_name_H-M 'F m -3 m'
_symmetry_Int_Tables_number 225
_symmetry_space_group_name_Hall '-F 4 2 3'
_cell_length_a 9.7759
_cell_length_b 9.7759
_cell_length_c 9.7759
_cell_angle_alpha 90.00
_cell_angle_beta 90.00
_cell_angle_gamma 90.00
loop_
_atom_site_label
_atom_site_type_symbol
_atom_site_fract_x
_atom_site_fract_y
_atom_site_fract_z
Na1 Na 0.2500 0.2500 0.2500
Zn1 Zn 0.0000 0.0000 0.0000
Si1 Si 0.0000 0.0000 0.5000
Au1 Au 0.0000 0.0000 0.2544
# - VASP energy (eV/atom) = -2.96
# - formation energy without anion corrections (kJ per mole of atoms) = -5.93
# - mass density (g/cm3) = 9.39



# NpAlFe4 GGA-PBE relaxed
data_NpAlFe4
_chemical_formula_sum 'Np4 Al4 Fe16'
_symmetry_space_group_name_H-M 'F -4 3 m'
_symmetry_Int_Tables_number 216
_symmetry_space_group_name_Hall 'F -4 2 3'
_cell_length_a 6.9340
_cell_length_b 6.9340
_cell_length_c 6.9340
_cell_angle_alpha 90.00
_cell_angle_beta 90.00
_cell_angle_gamma 90.00
loop_
_atom_site_label
_atom_site_type_symbol
_atom_site_fract_x
_atom_site_fract_y
_atom_site_fract_z
Np1 Np 0.0000 0.0000 0.0000
Al1 Al 0.2500 0.2500 0.7500
Fe1 Fe 0.1234 0.1234 0.3766
# - VASP energy (eV/atom) = -8.46
# - mass density (g/cm3) = 9.71
# - formation enthalpy at 0 K (eV per atom) = -0.034



# RbCoOs GGA-PBE relaxed
data_RbCoOs
_chemical_formula_sum 'Rb1 Co1 Os1'
_symmetry_space_group_name_H-M 'P -6 m 2'
_symmetry_Int_Tables_number 187
_symmetry_space_group_name_Hall 'P -6 2'
_cell_length_a 3.8858
_cell_length_b 3.8858
_cell_length_c 5.8820
_cell_angle_alpha 90.00
_cell_angle_beta 90.00
_cell_angle_gamma 120.00
loop_
_atom_site_label
_atom_site_type_symbol
_atom_site_fract_x
_atom_site_fract_y
_atom_site_fract_z
Rb1 Rb 0.0000 0.0000 0.0000
Co1 Co 0.3333 0.6667 0.5000
Os1 Os 0.6667 0.3333 0.5000
# - ΔE to the lowest computed polymorph (meV/atom) = 447
# - VASP energy (eV/atom) = -5.34
# - mass density (g/cm3) = 7.22
# - formation enthalpy at 0 K (eV per atom) = 1.099



# NaCuP GGA-PBE relaxed
data_NaCuP
_chemical_formula_sum 'Na6 Cu6 P6'
_symmetry_space_group_name_H-M 'P m m a'
_symmetry_Int_Tables_number 51
_cell_length_a 11.8354
_cell_length_b 4.0789
_cell_length_c 6.3017
_cell_angle_alpha 90.00
_cell_angle_beta 90.00
_cell_angle_gamma 90.00
loop_
_symmetry_equiv_pos_as_xyz
'x,y,z'
'-x,-y,-z'
'-x+1/2,-y,z'
'x+1/2,y,-z'
'x+1/2,-y,-z'
'-x+1/2,y,z'
'-x,y,-z'
'x,-y,z'
loop_
_atom_site_label
_atom_site_type_symbol
_atom_site_fract_x
_atom_site_fract_y
_atom_site_fract_z
Na1 Na 0.0355 0.0000 0.2338
Na2 Na 0.2500 0.0000 0.5879
Cu1 Cu 0.1456 0.5000 0.8936
Cu2 Cu 0.2500 0.5000 0.2595
P1 P 0.0895 0.5000 0.5443
P2 P 0.2500 0.0000 0.0374
# - VASP energy (eV/atom) = -3.75
# - mass density (g/cm3) = 3.85
# - formation enthalpy at 0 K (eV per atom) = -0.139